# ZnCd3Cl2F6

A relaxed structure of ZnCd3Cl2F6 (PBE, Alexandria).

**Energy relative to the elements, uncorrected**: -1.874 eV per atom
**Density**: 4.67 g/cm³
**Energy**: -3.45 eV per atom
**Space-group type**: No. 12
**V**: 17.4 Å³ per atom

a = 6.827 Å, b = 6.827 Å, c = 5.263 Å
α = 95.63°, β = 95.63°, γ = 58.97°
Element x y z (fractional)
1 Zn 0.000 0.000 0.000
2 Cd 0.000 0.500 0.000
3 Cd 0.500 0.000 0.000
4 Cd 0.500 0.500 0.500
5 Cl 0.306 0.306 0.666
6 Cl 0.694 0.694 0.334
7 F 0.156 0.156 0.179
8 F 0.178 0.685 0.212
9 F 0.315 0.822 0.788
10 F 0.685 0.178 0.212
11 F 0.822 0.315 0.788
12 F 0.844 0.844 0.821